1.
Tb2PmPr6Dy3 after structural relaxation. Source: Alexandria, functional PBE.

Output
Energy of formation   0.1 eV per formula unit
Space group   C2/m (12)
Density of states at the Fermi level   14.27 states/eV/cell

```
12
Lattice="3.163 -5.479 0.000 3.163 5.479 0.000 -2.102 0.000 11.770" Properties=species:S:1:pos:R:3 pbc="T T T"
Tb 3.163 3.654 0.000
Tb 3.163 -3.654 0.000
Pm 3.163 0.000 0.000
Pr 0.002 1.829 8.810
Pr 1.056 0.000 2.958
Pr 0.002 -1.829 8.810
Pr 4.223 1.829 2.959
Pr 3.168 0.000 8.811
Pr 4.223 -1.829 2.959
Dy -1.051 0.000 5.885
Dy 2.112 1.828 5.885
Dy 2.112 -1.828 5.885
```



2.
Tb3Pm2PrDy6 after structural relaxation. Source: Alexandria, functional PBE.

Output
Energy of formation   0.2 eV per formula unit
Space group   C2/m (12)
Density of states at the Fermi level   15.02 states/eV/cell

```
12
Lattice="3.103 -5.370 0.000 3.103 5.370 0.000 -2.062 0.000 11.651" Properties=species:S:1:pos:R:3 pbc="T T T"
Tb 0.000 0.000 0.000
Tb 3.103 1.791 0.000
Tb 3.103 -1.791 0.000
Pm 2.072 3.580 5.826
Pm 2.072 -3.580 5.826
Pr 2.072 0.000 5.826
Dy 1.031 1.792 2.879
Dy 0.006 0.000 8.772
Dy 1.031 -1.792 2.879
Dy 3.113 1.792 8.773
Dy 4.138 0.000 2.879
Dy 3.113 -1.792 8.773
```



3.
TbPmPr2Dy2 after structural relaxation. Source: Alexandria, functional PBE.

Output
Energy of formation   0.4 eV per formula unit
Space group   Pmma (51)
Density of states at the Fermi level   17.90 states/eV/cell

```
12
Lattice="7.055 0.000 0.000 0.000 5.732 0.000 0.000 0.000 9.931" Properties=species:S:1:pos:R:3 pbc="T T T"
Tb 1.764 0.000 1.628
Tb 5.291 0.000 8.303
Pm 0.000 2.866 0.000
Pm 3.527 2.866 0.000
Pr 0.000 0.000 4.966
Pr 1.764 2.866 6.661
Pr 3.527 0.000 4.966
Pr 5.291 2.866 3.271
Dy 1.764 0.000 8.276
Dy 1.764 2.866 3.319
Dy 5.291 0.000 1.655
Dy 5.291 2.866 6.612
```



4.
Tb3PmPr2Dy6 after structural relaxation. Source: Alexandria, functional PBE.

Output
Energy of formation   0.2 eV per formula unit
Space group   C2/m (12)
Density of states at the Fermi level   15.23 states/eV/cell

```
12
Lattice="3.108 -5.380 0.000 3.108 5.380 0.000 -2.063 0.000 11.665" Properties=species:S:1:pos:R:3 pbc="T T T"
Tb 0.000 0.000 0.000
Tb 3.108 1.793 0.000
Tb 3.108 -1.793 0.000
Pm 2.076 0.000 5.832
Pr 2.076 3.588 5.832
Pr 2.076 -3.588 5.832
Dy 1.036 1.792 2.876
Dy 0.011 0.000 8.790
Dy 1.036 -1.792 2.876
Dy 3.116 1.792 8.788
Dy 4.142 0.000 2.875
Dy 3.116 -1.792 8.788
```



5.
TbPmPr4Dy2 after structural relaxation. Source: Alexandria, functional PBE.

Output
Energy of formation   0.1 eV per formula unit
Space group   P2/m (10)
Density of states at the Fermi level   10.92 states/eV/cell

```
8
Lattice="6.317 0.000 0.000 0.000 3.660 0.000 -2.134 0.000 11.812" Properties=species:S:1:pos:R:3 pbc="T T T"
Tb 0.000 0.000 0.000
Pm -1.067 1.830 5.906
Pr -0.023 0.000 8.884
Pr 1.053 1.830 2.947
Pr 3.130 1.830 8.865
Pr 4.206 0.000 2.927
Dy 2.091 0.000 5.906
Dy 3.158 1.830 0.000
```



6.
TbPmPr3Dy after structural relaxation. Source: Alexandria, functional PBE.

Output
Energy of formation   0.1 eV per formula unit
Space group   P2_1/m (11)
Density of states at the Fermi level   16.20 states/eV/cell

```
12
Lattice="10.943 0.000 0.000 0.000 3.655 0.000 -3.670 0.000 10.330" Properties=species:S:1:pos:R:3 pbc="T T T"
Tb 0.862 0.914 3.912
Tb 6.410 2.742 6.419
Pm 0.880 0.914 9.014
Pm 6.393 2.742 1.317
Pr -2.747 0.914 8.989
Pr 2.731 2.742 1.304
Pr 2.692 2.742 6.440
Pr 4.580 0.914 3.890
Pr 4.542 0.914 9.027
Pr 10.020 2.742 1.341
Dy -0.937 2.742 6.418
Dy 8.209 0.914 3.912
```